A plane-wave DFT calculation with PBE was carried out for an optimized crystal structure of SrTlMo2.

a = 6.038 Å, b = 9.903 Å, c = 2.865 Å
α = 90.00°, β = 90.00°, γ = 90.00°
Space group Cmmm (No. 65)
Unique sites:
Sr (0.000, 0.000, 0.000)
Tl (0.000, 0.500, 0.000)
Mo (0.250, 0.250, 0.500)

Computed properties:
**Formation enthalpy at 0 K**: 1116 meV per atom
**Offset from the most stable computed form**: 282 kJ/mol of formula units
**Total magnetic moment**: 0.0 μB per formula unit

=====

A plane-wave DFT calculation with PBE was carried out for an optimized crystal structure of TiHCl2.

a = 7.117 Å, b = 7.117 Å, c = 8.793 Å
α = 90.00°, β = 90.00°, γ = 90.00°
Space group I-42d (No. 122)
Unique sites:
Ti (0.000, 0.000, 0.000)
H (0.000, 0.000, 0.500)
Cl (0.168, 0.250, 0.125)

Computed properties:
**DFT total energy**: -4.05 eV per atom
**Total magnetic moment**: 3.0 μB per formula unit

=====

A plane-wave DFT calculation with PBE was carried out for an optimized crystal structure of Pr2Nd3PuN6.

a = 6.288 Å, b = 10.876 Å, c = 6.275 Å
α = 90.00°, β = 109.55°, γ = 90.00°
Space group C2/m (No. 12)
Unique sites:
Pr (0.000, 0.166, 0.000)
Nd (0.000, 0.000, 0.500)
Nd (0.000, 0.335, 0.500)
Pu (0.000, 0.500, 0.000)
N (0.233, 0.500, 0.757)
N (0.234, 0.345, 0.238)

Computed properties:
**DFT total energy**: -8.66 eV per atom
**Total magnetic moment**: 4.2 μB per formula unit

=====

A plane-wave DFT calculation with PBE was carried out for an optimized crystal structure of Pr4CdIr.

a = 9.036 Å, b = 14.059 Å, c = 6.169 Å
α = 90.00°, β = 111.56°, γ = 90.00°
Space group C2/c (No. 15)
Unique sites:
Pr (0.112, 0.180, 0.065)
Pr (0.223, 0.426, 0.359)
Cd (0.000, 0.380, 0.750)
Ir (0.000, 0.001, 0.750)

Computed properties:
**Formation enthalpy at 0 K**: -325 meV per atom
**Offset from the most stable computed form**: 58 kJ/mol of formula units
**Total magnetic moment**: 0.0 μB per formula unit